w | Below is crystalline LaNd2Tm5 at its relaxed geometry, with properties calculated at the PBE level.

For the density of states at the Fermi level, the calculation gives 10.2 states/eV per cell. Its symmetry is I4mm. For the magnetization, the calculation gives 0.0 μB per cell.

Structure (POSCAR):
```
LaNd2Tm5
1.0
7.182 0.000 0.000
0.000 7.182 0.000
-3.591 -3.591 4.961
Nd Tm La
2 5 1
direct
0.722 0.222 0.444 Nd
0.222 0.722 0.444 Nd
0.222 0.722 0.944 Tm
0.722 0.722 0.944 Tm
0.222 0.222 0.944 Tm
0.722 0.222 0.944 Tm
0.722 0.722 0.445 Tm
0.222 0.222 0.444 La
```

x | Below is crystalline LaNd2Tm5 at its relaxed geometry, with properties calculated at the PBE level.

For the density of states at the Fermi level, the calculation gives 11.1 states/eV per cell. Its symmetry is Immm. For the magnetization, the calculation gives 0.0 μB per cell.

Structure (POSCAR):
```
LaNd2Tm5
1.0
3.481 -0.003 -0.697
-0.941 10.053 -4.727
-0.106 -2.194 8.497
Tm Nd La
5 2 1
direct
0.368 0.596 0.735 Tm
0.368 0.139 0.735 Tm
0.000 0.500 0.000 Tm
0.632 0.861 0.265 Tm
0.632 0.404 0.265 Tm
0.257 0.758 0.516 Nd
0.743 0.242 0.484 Nd
0.000 0.000 0.000 La
```

The winner here is w, beating the second structure by 16 meV per atom.

w | Below is crystalline La3Nd4Tm at its relaxed geometry, with properties calculated at the PBE level.

For the density of states at the Fermi level, the calculation gives 12.2 states/eV per cell. Its symmetry is C2/m. For the magnetization, the calculation gives 0.0 μB per cell.

Structure (POSCAR):
```
La3Nd4Tm
1.0
-5.940 0.325 -0.602
-0.423 -6.076 0.893
2.476 4.054 7.451
Nd La Tm
4 3 1
direct
0.630 0.583 0.260 Nd
0.747 0.183 0.494 Nd
0.253 0.817 0.506 Nd
0.370 0.417 0.740 Nd
0.000 0.500 0.000 La
0.133 0.185 0.266 La
0.867 0.815 0.734 La
0.500 0.000 0.000 Tm
```

x | Below is crystalline La3Nd4Tm at its relaxed geometry, with properties calculated at the PBE level.

For the density of states at the Fermi level, the calculation gives 11.8 states/eV per cell. Its symmetry is Immm. For the magnetization, the calculation gives 0.0 μB per cell.

Structure (POSCAR):
```
La3Nd4Tm
1.0
-3.312 -0.136 -1.321
1.443 -4.193 -8.005
-2.556 -8.435 2.461
Tm La Nd
1 3 4
direct
0.500 0.000 0.000 Tm
0.000 0.500 0.500 La
0.760 0.240 0.240 La
0.240 0.760 0.760 La
0.633 0.621 0.114 Nd
0.367 0.886 0.379 Nd
0.633 0.114 0.621 Nd
0.367 0.379 0.886 Nd
```

The winner here is w, beating the second structure by 23 meV per atom.

w | Below is crystalline La2Nd3Tm4 at its relaxed geometry, with properties calculated at the PBE level.

For the density of states at the Fermi level, the calculation gives 26.9 states/eV per cell. Its symmetry is C2/c. For the magnetization, the calculation gives 0.0 μB per cell.

Structure (POSCAR):
```
La2Nd3Tm4
1.0
5.837 1.616 1.157
2.098 11.084 0.666
2.098 4.202 10.279
Nd Tm La
6 8 4
direct
0.726 0.699 0.981 Nd
0.274 0.301 0.019 Nd
0.226 0.981 0.699 Nd
0.250 0.635 0.365 Nd
0.750 0.365 0.635 Nd
0.774 0.019 0.301 Nd
0.113 0.145 0.386 Tm
0.887 0.855 0.614 Tm
0.387 0.614 0.855 Tm
0.927 0.170 0.943 Tm
0.427 0.943 0.170 Tm
0.573 0.057 0.830 Tm
0.613 0.386 0.145 Tm
0.073 0.830 0.057 Tm
0.055 0.486 0.745 La
0.945 0.514 0.255 La
0.555 0.745 0.486 La
0.445 0.255 0.514 La
```

x | Below is crystalline La2Nd3Tm4 at its relaxed geometry, with properties calculated at the PBE level.

For the density of states at the Fermi level, the calculation gives 13.3 states/eV per cell. Its symmetry is P-1. For the magnetization, the calculation gives 0.0 μB per cell.

Structure (POSCAR):
```
La2Nd3Tm4
1.0
-4.313 1.808 -4.181
6.422 0.406 -4.876
-2.610 -5.517 -1.256
Nd La Tm
3 2 4
direct
0.000 0.000 0.000 Nd
0.110 0.222 0.559 Nd
0.890 0.778 0.441 Nd
0.668 0.332 0.331 La
0.332 0.668 0.669 La
0.448 0.888 0.223 Tm
0.773 0.554 0.892 Tm
0.227 0.446 0.108 Tm
0.552 0.112 0.777 Tm
```

The winner here is x, beating the second structure by 65 meV per atom.

w | Below is crystalline La5NdTm at its relaxed geometry, with properties calculated at the PBE level.

For the density of states at the Fermi level, the calculation gives 20.0 states/eV per cell. Its symmetry is C2/c. For the magnetization, the calculation gives 0.0 μB per cell.

Structure (POSCAR):
```
La5NdTm
1.0
6.873 0.640 0.768
2.788 6.315 0.768
4.364 3.142 12.674
La Tm Nd
10 2 2
direct
0.293 0.707 0.250 La
0.413 0.146 0.242 La
0.707 0.293 0.750 La
0.854 0.587 0.258 La
0.696 0.650 0.002 La
0.350 0.304 0.498 La
0.587 0.854 0.758 La
0.304 0.350 0.998 La
0.650 0.696 0.502 La
0.146 0.413 0.742 La
0.000 0.000 0.000 Tm
0.000 0.000 0.500 Tm
0.850 0.150 0.250 Nd
0.150 0.850 0.750 Nd
```

x | Below is crystalline La5NdTm at its relaxed geometry, with properties calculated at the PBE level.

For the density of states at the Fermi level, the calculation gives 22.5 states/eV per cell. Its symmetry is C2/c. For the magnetization, the calculation gives 0.0 μB per cell.

Structure (POSCAR):
```
La5NdTm
1.0
6.125 0.000 1.441
3.062 8.918 0.720
-0.274 0.000 9.198
La Nd Tm
10 2 2
direct
0.984 0.628 0.648 La
0.612 0.372 0.148 La
0.756 0.698 0.034 La
0.244 0.302 0.966 La
0.388 0.628 0.852 La
0.546 0.698 0.466 La
0.141 0.717 0.250 La
0.454 0.302 0.534 La
0.016 0.372 0.352 La
0.859 0.283 0.750 La
0.000 0.000 0.000 Nd
0.000 0.000 0.500 Nd
0.489 0.021 0.250 Tm
0.511 0.979 0.750 Tm
```

The winner here is w, beating the second structure by 22 meV per atom.

w | Below is crystalline La4Nd2Tm at its relaxed geometry, with properties calculated at the PBE level.

For the density of states at the Fermi level, the calculation gives 18.6 states/eV per cell. Its symmetry is Imma. For the magnetization, the calculation gives 0.0 μB per cell.

Structure (POSCAR):
```
La4Nd2Tm
1.0
6.968 0.000 0.000
3.484 8.443 -1.165
3.484 1.647 8.362
Nd Tm La
4 2 8
direct
0.717 0.033 0.533 Nd
0.283 0.967 0.467 Nd
0.500 0.500 0.500 Nd
0.500 0.000 0.000 Nd
0.500 0.500 0.000 Tm
0.000 0.500 0.000 Tm
0.213 0.757 0.257 La
0.774 0.757 0.257 La
0.852 0.643 0.653 La
0.226 0.243 0.743 La
0.852 0.153 0.143 La
0.148 0.357 0.347 La
0.148 0.847 0.857 La
0.787 0.243 0.743 La
```

x | Below is crystalline La4Nd2Tm at its relaxed geometry, with properties calculated at the PBE level.

For the density of states at the Fermi level, the calculation gives 23.7 states/eV per cell. Its symmetry is P1. For the magnetization, the calculation gives 0.0 μB per cell.

Structure (POSCAR):
```
La4Nd2Tm
1.0
8.892 0.792 -1.255
-3.637 5.204 -0.780
1.123 2.185 9.423
Nd Tm La
4 2 8
direct
0.555 0.017 0.286 Nd
0.623 0.232 0.642 Nd
0.054 0.515 0.786 Nd
0.699 0.446 0.002 Nd
0.909 0.089 0.071 Tm
0.411 0.592 0.571 Tm
0.486 0.806 0.928 La
0.836 0.873 0.716 La
0.767 0.662 0.358 La
0.267 0.163 0.857 La
0.122 0.731 0.141 La
0.198 0.947 0.501 La
0.336 0.373 0.214 La
0.985 0.304 0.429 La
```

The winner here is x, beating the second structure by 177 meV per atom.

w | Below is crystalline La2Nd3Tm2 at its relaxed geometry, with properties calculated at the PBE level.

For the density of states at the Fermi level, the calculation gives 10.7 states/eV per cell. Its symmetry is P-1. For the magnetization, the calculation gives 0.0 μB per cell.

Structure (POSCAR):
```
La2Nd3Tm2
1.0
6.290 -0.645 -0.310
-4.566 6.736 0.392
-0.618 1.204 6.136
Nd Tm La
3 2 2
direct
0.425 0.570 0.713 Nd
0.575 0.430 0.287 Nd
0.000 0.000 0.000 Nd
0.286 0.714 0.140 Tm
0.714 0.286 0.860 Tm
0.855 0.143 0.424 La
0.145 0.857 0.576 La
```

x | Below is crystalline La2Nd3Tm2 at its relaxed geometry, with properties calculated at the PBE level.

For the density of states at the Fermi level, the calculation gives 11.7 states/eV per cell. Its symmetry is C2/m. For the magnetization, the calculation gives 0.0 μB per cell.

Structure (POSCAR):
```
La2Nd3Tm2
1.0
3.560 0.000 0.000
0.000 8.649 -0.739
-1.780 -3.663 8.179
Nd La Tm
3 2 2
direct
0.787 0.207 0.574 Nd
0.213 0.793 0.426 Nd
0.000 0.500 0.000 Nd
0.564 0.914 0.128 La
0.436 0.086 0.872 La
0.151 0.339 0.302 Tm
0.849 0.661 0.698 Tm
```

The winner here is w, beating the second structure by 99 meV per atom.

w | Below is crystalline LaNd3Tm at its relaxed geometry, with properties calculated at the PBE level.

For the density of states at the Fermi level, the calculation gives 16.7 states/eV per cell. Its symmetry is C2/m. For the magnetization, the calculation gives 0.0 μB per cell.

Structure (POSCAR):
```
LaNd3Tm
1.0
7.162 0.000 0.000
-3.581 6.944 -5.340
0.000 -1.948 8.533
Nd Tm La
6 2 2
direct
0.403 0.308 0.693 Nd
0.751 0.502 0.504 Nd
0.096 0.692 0.307 Nd
0.597 0.692 0.307 Nd
0.249 0.498 0.496 Nd
0.904 0.308 0.693 Nd
0.943 0.887 0.114 Tm
0.057 0.113 0.886 Tm
0.444 0.889 0.110 La
0.556 0.111 0.890 La
```

x | Below is crystalline LaNd3Tm at its relaxed geometry, with properties calculated at the PBE level.

For the density of states at the Fermi level, the calculation gives 16.4 states/eV per cell. Its symmetry is R-3. For the magnetization, the calculation gives 0.0 μB per cell.

Structure (POSCAR):
```
LaNd3Tm
1.0
-3.870 -2.139 -4.405
-5.219 -3.012 1.626
-8.637 8.087 -0.760
La Nd Tm
2 6 2
direct
0.666 0.666 0.002 La
0.334 0.334 0.998 La
0.584 0.251 0.257 Nd
0.908 0.584 0.257 Nd
0.749 0.092 0.743 Nd
0.416 0.749 0.743 Nd
0.092 0.416 0.743 Nd
0.251 0.908 0.257 Nd
0.166 0.166 0.502 Tm
0.834 0.834 0.498 Tm
```

The winner here is w, beating the second structure by 239 meV per atom.

w | Below is crystalline La2Nd6Tm3 at its relaxed geometry, with properties calculated at the PBE level.

For the density of states at the Fermi level, the calculation gives 15.9 states/eV per cell. Its symmetry is C2/m. For the magnetization, the calculation gives 0.0 μB per cell.

Structure (POSCAR):
```
La2Nd6Tm3
1.0
-3.959 -3.025 -3.739
-3.138 -4.946 2.135
-10.031 6.014 2.255
Nd Tm La
6 3 2
direct
0.252 0.000 0.244 Nd
0.918 0.667 0.244 Nd
0.748 0.000 0.756 Nd
0.415 0.667 0.756 Nd
0.082 0.333 0.756 Nd
0.585 0.333 0.244 Nd
0.334 0.331 0.000 Tm
0.666 0.669 0.000 Tm
0.000 0.000 0.000 Tm
0.833 0.334 0.500 La
0.167 0.666 0.500 La
```

x | Below is crystalline La2Nd6Tm3 at its relaxed geometry, with properties calculated at the PBE level.

For the density of states at the Fermi level, the calculation gives 15.0 states/eV per cell. Its symmetry is I4/mmm. For the magnetization, the calculation gives 0.0 μB per cell.

Structure (POSCAR):
```
La2Nd6Tm3
1.0
5.734 0.000 0.000
0.000 5.734 0.000
-2.867 -2.867 12.253
Nd La Tm
6 2 3
direct
0.096 0.596 0.193 Nd
0.596 0.096 0.193 Nd
0.297 0.297 0.595 Nd
0.703 0.703 0.405 Nd
0.904 0.404 0.807 Nd
0.404 0.904 0.807 Nd
0.559 0.559 0.118 La
0.441 0.441 0.882 La
0.160 0.160 0.319 Tm
0.840 0.840 0.681 Tm
0.000 0.000 0.000 Tm
```

The winner here is w, beating the second structure by 285 meV per atom.